Here is Rb2InAuI6 after structural relaxation from Alexandria via LeMat-Bulk. Energies are from PBE.

```
Rb2InAuI6
1.0
-0.5874 -5.6528 6.1867
7.9930 1.4858 2.1164
1.9107 2.2107 7.9051
I Rb Au In
6 2 1 1
direct
0.7535 0.7535 0.0000
0.7501 0.7501 0.4997
0.2465 0.7535 0.0000
0.7535 0.2465 0.0000
0.2499 0.2499 0.5003
0.2465 0.2465 0.0000
0.2500 0.7500 0.5000
0.7500 0.2500 0.5000
0.0000 0.0000 0.0000
0.5000 0.5000 0.0000
```

Values from the calculation:
**Calculated volume**: 42.19 Å³ per atom
**Energy above the lowest structure with this stoichiometry**: 78 meV per atom
**Energy relative to the elements, uncorrected**: -7.45 eV per formula unit